# 1
4
Lattice="5.318 0.114 0.000 -1.669 5.051 0.000 0.000 0.000 3.558" Properties=species:S:1:pos:R:3 comment="BeTlIn2 PBE-GGA relaxed" magmom_total_mub_per_fu=0.0 e_above_lowest_polymorph_ev_per_atom=0.2199 e_form_mev_per_atom=509 space_group="Cmmm, No. 65" pbc="T T T"
Be -0.834 2.526 1.779
Tl 2.659 0.057 1.779
In 0.000 0.000 0.000
In 1.825 2.582 0.000



# 2
12
Lattice="-4.093 1.222 -7.342 -4.390 -0.878 7.219 3.149 8.196 1.246" Properties=species:S:1:pos:R:3 comment="Ba6ZnAs2I3 PBE-GGA relaxed" magmom_total_mub_per_fu=3.0 formation_energy_uncorrected_ev_per_atom=-1.1919 space_group="C2/m, No. 12" pbc="T T T"
Ba -3.891 7.117 -1.613
Ba -5.497 1.949 0.169
Ba -1.443 1.422 2.735
Ba -3.993 6.394 3.400
Ba 0.162 6.590 0.954
Ba -1.341 2.145 -2.278
Zn 0.000 0.000 0.000
As -4.291 -0.178 2.365
As -4.192 0.522 -2.488
I -2.766 3.568 5.427
I -2.568 4.971 -4.304
I -2.667 4.269 0.561



# 3
10
Lattice="7.436 0.000 0.000 0.000 7.436 0.000 0.000 0.000 4.325" Properties=species:S:1:pos:R:3 comment="Y2TcHg2 PBE-GGA relaxed" magmom_total_mub_per_fu=0.0 e_above_lowest_polymorph_ev_per_atom=0.0000 e_form_mev_per_atom=57 space_group="P4/mbm, No. 127" pbc="T T T"
Y 1.333 5.051 2.162
Y 5.051 6.103 2.162
Y 6.103 2.385 2.162
Y 2.385 1.333 2.162
Hg 2.717 6.435 0.000
Hg 6.435 4.719 0.000
Hg 4.719 1.001 0.000
Hg 1.001 2.717 0.000
Tc 0.000 0.000 0.000
Tc 3.718 3.718 0.000



# 4
4
Lattice="-0.026 5.471 -0.430 -4.550 2.825 1.198 -0.190 3.107 4.520" Properties=species:S:1:pos:R:3 comment="TbDyErZr PBE-GGA relaxed" magmom_total_mub_per_fu=2.6 e_form_mev_per_atom=214 space_group="F-43m, No. 216" pbc="T T T"
Dy 0.000 0.000 0.000
Tb -3.574 8.552 3.966
Zr -1.191 2.851 1.322
Er -2.383 5.701 2.644



# 5
4
Lattice="-1.015 2.376 -1.881 -2.046 0.926 2.274 5.851 5.043 3.211" Properties=species:S:1:pos:R:3 comment="HfMg2Hg PBE-GGA relaxed" magmom_total_mub_per_fu=0.0 e_above_lowest_polymorph_ev_per_atom=0.0000 e_form_mev_per_atom=-37 space_group="P4/mmm, No. 123" pbc="T T T"
Mg 4.455 3.840 2.445
Mg 1.396 1.203 0.766
Hf 1.395 4.173 1.802
Hg -1.531 1.651 0.196



# 6
4
Lattice="-4.029 0.308 2.142 -2.201 -0.974 -3.999 0.187 -4.554 1.007" Properties=species:S:1:pos:R:3 comment="TbTmScAl PBE-GGA relaxed" magmom_total_mub_per_fu=0.0 e_above_lowest_polymorph_ev_per_atom=0.0000 e_form_mev_per_atom=-198 space_group="Pmmm, No. 47" pbc="T T T"
Tb -3.115 -0.333 -0.929
Tm -1.921 -2.123 1.574
Sc 0.000 0.000 0.000
Al -1.007 -2.764 -1.496



no.,DFT total energy (hartree per atom)
1,-0.0876
2,-0.1258
3,-0.1736
4,-0.1974
5,-0.1249
6,-0.1834